Material: GeBi2PtO
Method: DFT, PBE-GGA
State: relaxed

Values from the calculation:
* formation energy without anion corrections: 0.0996 eV per atom
* space group: No. 123
* volume: 106 Å³ per cell
* total energy: -22.9 eV for the cell shown
* density of states at the Fermi level: 2.44 states/eV/f.u.

Cell: 5.043 5.043 4.186 Å, 90.00 90.00 90.00°
Element x y z (fractional)
Ge1 0.000 0.000 0.000
Bi1 0.000 0.500 0.500
Bi2 0.500 0.000 0.500
Pt1 0.500 0.500 0.000
O1 0.500 0.500 0.500